Run one
The following is a GGA-PBE calculation of an optimized crystal structure of Rb2BaIr, from the Alexandria database.

Cell and atoms, written as CIF:
```
data_Rb2BaIr
_symmetry_space_group_name_H-M 'I -4 2 d'
_symmetry_Int_Tables_number 122
_symmetry_space_group_name_Hall 'I -4 2bw'
_cell_length_a 4.873
_cell_length_b 4.873
_cell_length_c 26.137
_cell_angle_alpha 90.00
_cell_angle_beta 90.00
_cell_angle_gamma 90.00
loop_
_atom_site_label
_atom_site_type_symbol
_atom_site_fract_x
_atom_site_fract_y
_atom_site_fract_z
_atom_site_occupancy
Rb1 Rb 0.225 0.250 0.125 1
Ba1 Ba 0.000 0.000 0.500 1
Ir1 Ir 0.000 0.000 0.000 1
```

Results
Fermi-level density of states in states/eV/f.u.: 4.17
Total magnetic moment in μB per cell: 0.00


Run two
The following is a GGA-PBE calculation of an optimized crystal structure of Rb2BaIr, from the Alexandria database.

Cell and atoms, written as CIF:
```
data_Rb2BaIr
_symmetry_space_group_name_H-M 'F m -3 m'
_symmetry_Int_Tables_number 225
_symmetry_space_group_name_Hall '-F 4 2 3'
_cell_length_a 8.258
_cell_length_b 8.258
_cell_length_c 8.258
_cell_angle_alpha 90.00
_cell_angle_beta 90.00
_cell_angle_gamma 90.00
loop_
_atom_site_label
_atom_site_type_symbol
_atom_site_fract_x
_atom_site_fract_y
_atom_site_fract_z
_atom_site_occupancy
Rb1 Rb 0.250 0.250 0.250 1
Ba1 Ba 0.000 0.000 0.000 1
Ir1 Ir 0.000 0.000 0.500 1
```

Results
Fermi-level density of states in states/eV/f.u.: 3.44
Total magnetic moment in μB per cell: 0.00


run one is favored, and the nearest alternative lies 0.112 eV/atom above it.